! Sr2CoRe (PBE, optimized geometry); values from VASP
&SYSTEM
  ibrav = 0, nat = 8, ntyp = 3
/
ATOMIC_SPECIES
Re 186.21 Re.upf
Sr 87.62 Sr.upf
Co 58.93 Co.upf
CELL_PARAMETERS angstrom
-6.853 -0.743 8.784
7.438 -6.458 5.257
1.234 -1.794 7.908
ATOMIC_POSITIONS crystal
Re 0.000 0.000 0.000
Re 0.750 0.250 0.500
Sr 0.305 0.625 0.250
Sr 0.875 0.695 0.750
Sr 0.445 0.125 0.250
Sr 0.375 0.555 0.750
Co 0.250 0.750 0.500
Co 0.500 0.500 0.000
! electronic total energy: -4.859 eV per atom
! total magnetic moment: 1.990 μB per formula unit
! crystal system: tetragonal
! calculated formation energy: 870.8 meV per atom